Record 1
Here is a relaxed structure of Zn2RuAu from the Alexandria database. Energies are from GGA-PBE.

```
4
Lattice="4.418 0.000 0.000 2.209 3.827 0.000 2.209 1.276 3.608" Properties=species:S:1:pos:R:3 pbc="T T T"
Au 4.418 2.551 1.804
Ru 6.628 3.827 2.706
Zn 0.000 0.000 0.000
Zn 2.209 1.276 0.902
```

volume: 61 Å³ per cell
total moment: 0.000 Bohr magnetons per cell
energy of formation from the pure elements: 0.5 eV per formula unit
space group: F-43m, No. 216

Record 2
Here is a relaxed structure of Zn2RuAu from the Alexandria database. Energies are from GGA-PBE.

```
4
Lattice="6.807 0.001 0.003 -2.547 3.294 -0.001 1.714 1.323 2.641" Properties=species:S:1:pos:R:3 pbc="T T T"
Ru 2.130 1.648 0.001
Zn 0.000 0.000 0.000
Zn 4.260 0.662 1.322
Au -0.416 2.309 1.320
```

volume: 59 Å³ per cell
total moment: 0.000 Bohr magnetons per cell
energy of formation from the pure elements: -0.5 eV per formula unit
space group: P4/mmm, No. 123

Record 3
Here is a relaxed structure of ZnRuAu3 from the Alexandria database. Energies are from GGA-PBE.

```
5
Lattice="-1.047 -4.420 -1.302 4.084 -1.509 1.835 -2.132 -0.719 4.155" Properties=species:S:1:pos:R:3 pbc="T T T"
Ru 0.452 -3.323 2.344
Zn 0.000 0.000 0.000
Au 2.042 -0.754 0.918
Au -1.066 -0.359 2.077
Au -0.524 -2.210 -0.651
```

volume: 105 Å³ per cell
total moment: 2.170 Bohr magnetons per cell
energy of formation from the pure elements: 5.0 eV per formula unit
space group: Pm-3m, No. 221
relative energy among the computed polymorphs: 0 meV per atom

Record 4
Here is a relaxed structure of Zn2RuAu from the Alexandria database. Energies are from GGA-PBE.

```
4
Lattice="-3.461 2.293 -1.863 -4.185 -0.606 -1.681 -2.817 0.947 3.869" Properties=species:S:1:pos:R:3 pbc="T T T"
Au -7.848 1.976 0.244
Ru -2.616 0.659 0.081
Zn -7.669 1.698 -3.456
Zn -5.210 1.306 0.075
```

volume: 61 Å³ per cell
total moment: 0.003 Bohr magnetons per cell
energy of formation from the pure elements: 0.0 eV per formula unit
space group: C2/m, No. 12

Number 1: DOS(E_F) 2.6 states/eV/cell. Number 2: DOS(E_F) 1.7 states/eV/cell. Number 3: DOS(E_F) 4.7 states/eV/cell. Number 4: DOS(E_F) 2.7 states/eV/cell.